(1)
Compound: Na3MnAl
Source: the Alexandria database
Functional: GGA-PBE
Structure: optimized geometry

Results
For the total energy, the calculation gives -0.0739 hartree per atom. As for the theoretical density: 1437 kg/m³. The value obtained for the total magnetic moment is 0.1 Bohr magnetons per cell. The calculated formation energy comes out at 1.3626 eV/atom. As for the crystal system: cubic.

a b c (Å): 5.5862 5.5862 5.5862
angles (deg): 90.00 90.00 90.00
Fractional positions:
Mn (0.0000, 0.0000, 0.0000)
Na (0.0000, 0.0000, 0.5000)
Al (0.5000, 0.5000, 0.5000)
Na (0.5000, 0.0000, 0.0000)
Na (0.0000, 0.5000, 0.0000)

(2)
Compound: NaMn2Al
Source: the Alexandria database
Functional: GGA-PBE
Structure: optimized geometry

Results
For the total energy, the calculation gives -0.1812 hartree per atom. As for the theoretical density: 3804 kg/m³. The value obtained for the total magnetic moment is 5.9 Bohr magnetons per cell. The calculated formation energy comes out at 0.9195 eV/atom. As for the crystal system: tetragonal.

a b c (Å): 3.8978 3.8978 9.5892
angles (deg): 78.27 78.27 90.00
Fractional positions:
Mn (0.7413, 0.1250, 0.2500)
Mn (0.8750, 0.9913, 0.7500)
Al (0.0000, 0.0000, 0.0000)
Al (0.7500, 0.2500, 0.5000)
Mn (0.3750, 0.2587, 0.7500)
Na (0.2500, 0.7500, 0.5000)
Mn (0.0087, 0.6250, 0.2500)
Na (0.5000, 0.5000, 0.0000)

> What is the calculated formation energy in the second record?

0.9195 eV/atom

> The lowest calculated formation energy belongs to which entry?

NaMn2Al

What did the second record say?
Compound: NaMn2Al
Source: the Alexandria database
Functional: GGA-PBE
Structure: optimized geometry

Results
For the total energy, the calculation gives -0.1812 hartree per atom. As for the theoretical density: 3804 kg/m³. The value obtained for the total magnetic moment is 5.9 Bohr magnetons per cell. The calculated formation energy comes out at 0.9195 eV/atom. As for the crystal system: tetragonal.

a b c (Å): 3.8978 3.8978 9.5892
angles (deg): 78.27 78.27 90.00
Fractional positions:
Mn (0.7413, 0.1250, 0.2500)
Mn (0.8750, 0.9913, 0.7500)
Al (0.0000, 0.0000, 0.0000)
Al (0.7500, 0.2500, 0.5000)
Mn (0.3750, 0.2587, 0.7500)
Na (0.2500, 0.7500, 0.5000)
Mn (0.0087, 0.6250, 0.2500)
Na (0.5000, 0.5000, 0.0000)

> What is the formula in the second record?

NaMn2Al